A relaxed Hg3Te2Cl2 crystal, computed with PBE.

POSCAR file:
```
Hg3Te2Cl2
1.0
7.240 0.000 0.000
0.000 7.908 0.000
-7.136 0.000 8.801
Hg Te Cl
6 4 4
Direct
0.000 0.000 0.000
0.000 0.500 0.500
0.014 0.051 0.676
0.014 0.449 0.176
0.986 0.551 0.824
0.986 0.949 0.324
0.255 0.653 0.431
0.255 0.847 0.931
0.745 0.153 0.069
0.745 0.347 0.569
0.284 0.132 0.588
0.284 0.368 0.088
0.716 0.632 0.912
0.716 0.868 0.412
```

## Properties
As for the calculated volume: 35.99 Å³/atom. The value obtained for the spin magnetization is 0.00 Bohr magnetons per cell. The uncorrected formation energy is -0.392 eV per atom.


A relaxed CaYBr2 crystal, computed with PBE.

POSCAR file:
```
CaYBr2
1.0
-3.325 3.325 6.554
3.325 -3.325 6.554
3.325 3.325 -6.554
Ca Y Br
2 2 4
Direct
0.000 0.000 0.000
0.750 0.250 0.500
0.250 0.750 0.500
0.500 0.500 0.000
0.125 0.625 0.000
0.375 0.375 0.500
0.625 0.125 0.000
0.875 0.875 0.500
```

## Properties
As for the calculated volume: 36.24 Å³/atom. The value obtained for the spin magnetization is 0.00 Bohr magnetons per cell. The uncorrected formation energy is -0.820 eV per atom.


A relaxed Ti3SBr crystal, computed with PBE.

POSCAR file:
```
Ti3SBr
1.0
4.599 0.000 0.000
0.000 4.599 0.000
0.000 0.000 4.599
Ti S Br
3 1 1
Direct
0.000 0.000 0.500
0.000 0.500 0.000
0.500 0.000 0.000
0.000 0.000 0.000
0.500 0.500 0.500
```

## Properties
As for the calculated volume: 19.45 Å³/atom. The value obtained for the spin magnetization is 1.98 Bohr magnetons per cell. The uncorrected formation energy is -0.074 eV per atom.


A relaxed Pm2Cd5Ag crystal, computed with PBE.

POSCAR file:
```
Pm2Cd5Ag
1.0
2.362 1.364 11.228
-2.362 1.364 11.228
0.000 -2.727 11.228
Pm Cd Ag
2 5 1
Direct
0.091 0.091 0.091
0.909 0.909 0.909
0.195 0.195 0.195
0.363 0.363 0.363
0.500 0.500 0.500
0.637 0.637 0.637
0.805 0.805 0.805
0.000 0.000 0.000
```

## Properties
Its energy relative to the elements is -0.099 eV per atom. As for the calculated volume: 27.13 Å³/atom. The value obtained for the spin magnetization is 0.00 Bohr magnetons per cell.


A relaxed Ta2TlPt crystal, computed with PBE.

POSCAR file:
```
Ta2TlPt
1.0
1.593 0.920 9.049
-1.593 0.920 9.049
0.000 -1.840 9.049
Ta Tl Pt
2 1 1
Direct
0.000 0.000 0.000
0.252 0.252 0.252
0.760 0.760 0.760
0.515 0.515 0.515
```

## Properties
Its energy relative to the elements is 0.145 eV per atom. As for the calculated volume: 19.90 Å³/atom. The value obtained for the spin magnetization is 0.00 Bohr magnetons per cell.


A relaxed Cr2CdCu crystal, computed with PBE.

POSCAR file:
```
Cr2CdCu
1.0
4.728 -1.472 0.000
4.728 1.472 0.000
-1.211 0.000 4.188
Cr Cd Cu
2 1 1
Direct
0.239 0.239 0.169
0.761 0.761 0.831
0.000 0.000 0.500
0.500 0.500 0.000
```

## Properties
Its energy relative to the elements is 0.469 eV per atom. As for the calculated volume: 14.57 Å³/atom. The value obtained for the spin magnetization is 0.00 Bohr magnetons per cell.


The highest calculated volume belongs to which entry?
CaYBr2